Version a
{"formula": "ZrTiOs", "functional": "PBE", "state": "optimized geometry", "lattice_angstrom": [[4.444, 0.000, 0.000], [-2.222, 3.849, 0.000], [0.000, 0.000, 3.034]], "species": ["Zr", "Ti", "Os"], "frac_coords": [[0.000, 0.000, 0.000], [0.667, 0.333, 0.386], [0.333, 0.667, 0.672]], "crystal_system": "trigonal"}

***

Version b
{"formula": "ZrTiOs", "functional": "PBE", "state": "optimized geometry", "lattice_angstrom": [[3.109, 0.000, 0.000], [0.000, 3.109, 0.000], [0.000, 0.000, 22.983]], "species": ["Zr", "Zr", "Zr", "Zr", "Ti", "Ti", "Ti", "Ti", "Os", "Os", "Os", "Os"], "frac_coords": [[0.000, 0.000, 0.071], [0.000, 0.000, 0.929], [0.500, 0.500, 0.429], [0.500, 0.500, 0.571], [0.000, 0.000, 0.211], [0.000, 0.000, 0.789], [0.500, 0.500, 0.289], [0.500, 0.500, 0.711], [0.000, 0.000, 0.353], [0.000, 0.000, 0.647], [0.500, 0.500, 0.147], [0.500, 0.500, 0.853]], "crystal_system": "tetragonal"}

***

Version c
{"formula": "ZrTiOs", "functional": "PBE", "state": "optimized geometry", "lattice_angstrom": [[4.427, 0.000, 0.000], [-2.214, 3.834, 0.000], [0.000, 0.000, 10.832]], "species": ["Zr", "Zr", "Zr", "Ti", "Ti", "Ti", "Os", "Os", "Os"], "frac_coords": [[0.000, 0.000, 0.000], [0.333, 0.667, 0.667], [0.667, 0.333, 0.333], [0.000, 0.000, 0.500], [0.333, 0.667, 0.167], [0.667, 0.333, 0.833], [0.000, 0.000, 0.250], [0.333, 0.667, 0.917], [0.667, 0.333, 0.583]], "crystal_system": "trigonal"}

***

Question: which arrangement is favored energetically? Ranking from most to least stable: version a, version b, version c.

***

Version a
{"formula": "Tl3Os", "functional": "PBE", "state": "optimized geometry", "lattice_angstrom": [[7.097, 0.000, 0.000], [0.000, 8.378, 0.000], [0.000, 0.000, 3.148]], "species": ["Tl", "Tl", "Tl", "Tl", "Tl", "Tl", "Os", "Os"], "frac_coords": [[0.000, 0.000, 0.000], [0.250, 0.250, 0.500], [0.250, 0.750, 0.500], [0.500, 0.500, 0.000], [0.750, 0.250, 0.500], [0.750, 0.750, 0.500], [0.000, 0.500, 0.000], [0.500, 0.000, 0.000]], "crystal_system": "orthorhombic"}

***

Version b
{"formula": "Tl3Os", "functional": "PBE", "state": "optimized geometry", "lattice_angstrom": [[5.187, 0.000, 0.000], [0.000, 5.187, 0.000], [0.000, 0.000, 3.385]], "species": ["Tl", "Tl", "Tl", "Os"], "frac_coords": [[0.000, 0.000, 0.000], [0.000, 0.500, 0.500], [0.500, 0.000, 0.500], [0.500, 0.500, 0.000]], "crystal_system": "tetragonal"}

***

Question: which arrangement is favored energetically? Ranking from most to least stable: version b, version a.

***

Version a
{"formula": "Tl3Os", "functional": "PBE", "state": "optimized geometry", "lattice_angstrom": [[6.167, 0.000, 0.000], [-3.084, 5.341, 0.000], [0.000, 0.000, 5.555]], "species": ["Tl", "Tl", "Tl", "Tl", "Tl", "Tl", "Os", "Os"], "frac_coords": [[0.171, 0.342, 0.250], [0.171, 0.829, 0.250], [0.342, 0.171, 0.750], [0.658, 0.829, 0.250], [0.829, 0.171, 0.750], [0.829, 0.658, 0.750], [0.333, 0.667, 0.750], [0.667, 0.333, 0.250]], "crystal_system": "hexagonal"}

***

Version b
{"formula": "Tl3Os", "functional": "PBE", "state": "optimized geometry", "lattice_angstrom": [[3.109, 0.000, 0.000], [0.000, 4.665, 0.000], [0.000, 0.000, 14.330]], "species": ["Tl", "Tl", "Tl", "Tl", "Tl", "Tl", "Os", "Os"], "frac_coords": [[0.000, 0.000, 0.000], [0.000, 0.500, 0.178], [0.000, 0.500, 0.822], [0.500, 0.000, 0.322], [0.500, 0.000, 0.678], [0.500, 0.500, 0.500], [0.000, 0.000, 0.500], [0.500, 0.500, 0.000]], "crystal_system": "orthorhombic"}

***

Version c
{"formula": "Tl3Os", "functional": "PBE", "state": "optimized geometry", "lattice_angstrom": [[3.242, 0.000, 0.000], [-1.621, 2.808, 0.000], [0.000, 0.000, 10.608]], "species": ["Tl", "Tl", "Tl", "Os"], "frac_coords": [[0.000, 0.000, 0.000], [0.667, 0.333, 0.292], [0.667, 0.333, 0.708], [0.000, 0.000, 0.500]], "crystal_system": "hexagonal"}

***

Version d
{"formula": "Tl3Os", "functional": "PBE", "state": "optimized geometry", "lattice_angstrom": [[9.089, 0.000, 0.000], [0.000, 14.416, 0.000], [0.000, 0.000, 3.398]], "species": ["Tl", "Tl", "Tl", "Tl", "Tl", "Tl", "Tl", "Tl", "Tl", "Tl", "Tl", "Tl", "Os", "Os", "Os", "Os"], "frac_coords": [[0.000, 0.091, 0.250], [0.000, 0.909, 0.750], [0.195, 0.347, 0.250], [0.195, 0.653, 0.750], [0.305, 0.153, 0.750], [0.305, 0.847, 0.250], [0.500, 0.409, 0.750], [0.500, 0.591, 0.250], [0.695, 0.153, 0.750], [0.695, 0.847, 0.250], [0.805, 0.347, 0.250], [0.805, 0.653, 0.750], [0.000, 0.248, 0.750], [0.000, 0.752, 0.250], [0.500, 0.252, 0.250], [0.500, 0.748, 0.750]], "crystal_system": "orthorhombic"}

***

Question: which arrangement is favored energetically? Ranking from most to least stable: version b, version c, version d, version a.

***

Version a
{"formula": "Tl3Os", "functional": "PBE", "state": "optimized geometry", "lattice_angstrom": [[4.286, 0.000, 0.000], [0.000, 4.286, 0.000], [0.000, 0.000, 20.978]], "species": ["Tl", "Tl", "Tl", "Tl", "Tl", "Tl", "Tl", "Tl", "Tl", "Tl", "Tl", "Tl", "Os", "Os", "Os", "Os"], "frac_coords": [[0.000, 0.000, 0.126], [0.000, 0.000, 0.874], [0.000, 0.500, 0.000], [0.000, 0.500, 0.250], [0.000, 0.500, 0.500], [0.000, 0.500, 0.750], [0.500, 0.000, 0.000], [0.500, 0.000, 0.250], [0.500, 0.000, 0.500], [0.500, 0.000, 0.750], [0.500, 0.500, 0.374], [0.500, 0.500, 0.626], [0.000, 0.000, 0.343], [0.000, 0.000, 0.657], [0.500, 0.500, 0.157], [0.500, 0.500, 0.843]], "crystal_system": "tetragonal"}

***

Version b
{"formula": "Tl3Os", "functional": "PBE", "state": "optimized geometry", "lattice_angstrom": [[3.237, 0.000, 0.000], [0.000, 3.237, 0.000], [0.000, 0.000, 9.194]], "species": ["Tl", "Tl", "Tl", "Os"], "frac_coords": [[0.000, 0.000, 0.000], [0.500, 0.500, 0.303], [0.500, 0.500, 0.697], [0.000, 0.000, 0.500]], "crystal_system": "tetragonal"}

***

Version c
{"formula": "Tl3Os", "functional": "PBE", "state": "optimized geometry", "lattice_angstrom": [[4.548, 0.000, 0.000], [0.000, 4.548, 0.000], [0.000, 0.000, 4.548]], "species": ["Tl", "Tl", "Tl", "Os"], "frac_coords": [[0.000, 0.000, 0.500], [0.000, 0.500, 0.000], [0.500, 0.000, 0.000], [0.500, 0.500, 0.500]], "crystal_system": "cubic"}

***

Question: which arrangement is favored energetically? Ranking from most to least stable: version b, version a, version c.

***

Version a
{"formula": "Tl3Os", "functional": "PBE", "state": "optimized geometry", "lattice_angstrom": [[5.646, 0.000, 0.000], [0.000, 5.646, 0.000], [0.000, 0.000, 5.646]], "species": ["Tl", "Tl", "Tl", "Tl", "Tl", "Tl", "Os", "Os"], "frac_coords": [[0.000, 0.250, 0.500], [0.000, 0.750, 0.500], [0.250, 0.500, 0.000], [0.500, 0.000, 0.250], [0.500, 0.000, 0.750], [0.750, 0.500, 0.000], [0.000, 0.000, 0.000], [0.500, 0.500, 0.500]], "crystal_system": "cubic"}

***

Version b
{"formula": "Tl3Os", "functional": "PBE", "state": "optimized geometry", "lattice_angstrom": [[6.274, 0.000, 0.000], [-3.137, 5.433, 0.000], [0.000, 0.000, 10.910]], "species": ["Tl", "Tl", "Tl", "Tl", "Tl", "Tl", "Tl", "Tl", "Tl", "Tl", "Tl", "Tl", "Os", "Os", "Os", "Os"], "frac_coords": [[0.000, 0.500, 0.000], [0.000, 0.500, 0.500], [0.161, 0.322, 0.250], [0.161, 0.839, 0.250], [0.322, 0.161, 0.750], [0.500, 0.000, 0.000], [0.500, 0.000, 0.500], [0.500, 0.500, 0.000], [0.500, 0.500, 0.500], [0.678, 0.839, 0.250], [0.839, 0.161, 0.750], [0.839, 0.678, 0.750], [0.000, 0.000, 0.000], [0.000, 0.000, 0.500], [0.333, 0.667, 0.750], [0.667, 0.333, 0.250]], "crystal_system": "hexagonal"}

***

Version c
{"formula": "Tl3Os", "functional": "PBE", "state": "optimized geometry", "lattice_angstrom": [[9.454, 0.000, 0.000], [-4.727, 8.187, 0.000], [0.000, 0.000, 3.613]], "species": ["Tl", "Tl", "Tl", "Tl", "Tl", "Tl", "Tl", "Tl", "Tl", "Os", "Os", "Os"], "frac_coords": [[0.000, 0.500, 0.000], [0.167, 0.333, 0.333], [0.167, 0.833, 0.333], [0.333, 0.167, 0.667], [0.500, 0.000, 0.000], [0.500, 0.500, 0.000], [0.667, 0.833, 0.333], [0.833, 0.167, 0.667], [0.833, 0.667, 0.667], [0.000, 0.000, 0.000], [0.333, 0.667, 0.667], [0.667, 0.333, 0.333]], "crystal_system": "trigonal"}

***

Question: which arrangement is favored energetically? Ranking from most to least stable: version a, version c, version b.

***

Version a
{"formula": "Tl3Os", "functional": "PBE", "state": "optimized geometry", "lattice_angstrom": [[3.200, 0.000, 0.000], [-1.600, 2.772, 0.000], [0.000, 0.000, 32.455]], "species": ["Tl", "Tl", "Tl", "Tl", "Tl", "Tl", "Tl", "Tl", "Tl", "Os", "Os", "Os"], "frac_coords": [[0.000, 0.000, 0.000], [0.000, 0.000, 0.237], [0.000, 0.000, 0.763], [0.333, 0.667, 0.430], [0.333, 0.667, 0.667], [0.333, 0.667, 0.903], [0.667, 0.333, 0.097], [0.667, 0.333, 0.333], [0.667, 0.333, 0.570], [0.000, 0.000, 0.500], [0.333, 0.667, 0.167], [0.667, 0.333, 0.833]], "crystal_system": "trigonal"}

***

Version b
{"formula": "Tl3Os", "functional": "PBE", "state": "optimized geometry", "lattice_angstrom": [[7.709, 0.000, 0.000], [0.000, 8.700, 0.000], [0.000, 0.000, 5.585]], "species": ["Tl", "Tl", "Tl", "Tl", "Tl", "Tl", "Tl", "Tl", "Tl", "Tl", "Tl", "Tl", "Os", "Os", "Os", "Os"], "frac_coords": [[0.022, 0.250, 0.107], [0.171, 0.052, 0.628], [0.171, 0.448, 0.628], [0.329, 0.552, 0.128], [0.329, 0.948, 0.128], [0.478, 0.750, 0.607], [0.522, 0.250, 0.393], [0.671, 0.052, 0.872], [0.671, 0.448, 0.872], [0.829, 0.552, 0.372], [0.829, 0.948, 0.372], [0.978, 0.750, 0.893], [0.132, 0.750, 0.415], [0.368, 0.250, 0.915], [0.632, 0.750, 0.085], [0.868, 0.250, 0.585]], "crystal_system": "orthorhombic"}

***

Version c
{"formula": "Tl3Os", "functional": "PBE", "state": "optimized geometry", "lattice_angstrom": [[4.054, 0.000, 0.000], [0.000, 6.117, 0.000], [0.000, 0.000, 8.047]], "species": ["Tl", "Tl", "Tl", "Tl", "Tl", "Tl", "Os", "Os"], "frac_coords": [[0.250, 0.009, 0.160], [0.250, 0.491, 0.160], [0.250, 0.750, 0.548], [0.750, 0.250, 0.452], [0.750, 0.509, 0.840], [0.750, 0.991, 0.840], [0.250, 0.250, 0.702], [0.750, 0.750, 0.298]], "crystal_system": "orthorhombic"}

***

Question: which arrangement is favored energetically? Ranking from most to least stable: version b, version a, version c.

***

Version a
{"formula": "Tl2Os", "functional": "PBE", "state": "optimized geometry", "lattice_angstrom": [[3.059, 0.000, 0.000], [-1.530, 2.649, 0.000], [0.000, 0.000, 8.453]], "species": ["Tl", "Tl", "Os"], "frac_coords": [[0.333, 0.667, 0.289], [0.667, 0.333, 0.711], [0.000, 0.000, 0.000]], "crystal_system": "trigonal"}

***

Version b
{"formula": "Tl2Os", "functional": "PBE", "state": "optimized geometry", "lattice_angstrom": [[7.136, 0.000, 0.000], [0.000, 7.136, 0.000], [0.000, 0.000, 5.204]], "species": ["Tl", "Tl", "Tl", "Tl", "Tl", "Tl", "Tl", "Tl", "Os", "Os", "Os", "Os"], "frac_coords": [[0.158, 0.342, 0.000], [0.158, 0.658, 0.500], [0.342, 0.158, 0.500], [0.342, 0.842, 0.000], [0.658, 0.158, 0.000], [0.658, 0.842, 0.500], [0.842, 0.342, 0.500], [0.842, 0.658, 0.000], [0.000, 0.000, 0.250], [0.000, 0.000, 0.750], [0.500, 0.500, 0.250], [0.500, 0.500, 0.750]], "crystal_system": "tetragonal"}

***

Version c
{"formula": "Tl2Os", "functional": "PBE", "state": "optimized geometry", "lattice_angstrom": [[6.577, 0.000, 0.000], [0.000, 6.577, 0.000], [0.000, 0.000, 6.577]], "species": ["Tl", "Tl", "Tl", "Tl", "Tl", "Tl", "Tl", "Tl", "Os", "Os", "Os", "Os"], "frac_coords": [[0.250, 0.250, 0.250], [0.250, 0.250, 0.750], [0.250, 0.750, 0.250], [0.250, 0.750, 0.750], [0.750, 0.250, 0.250], [0.750, 0.250, 0.750], [0.750, 0.750, 0.250], [0.750, 0.750, 0.750], [0.000, 0.000, 0.000], [0.000, 0.500, 0.500], [0.500, 0.000, 0.500], [0.500, 0.500, 0.000]], "crystal_system": "cubic"}

***

Version d
{"formula": "Tl2Os", "functional": "PBE", "state": "optimized geometry", "lattice_angstrom": [[0.000, 4.215, 4.215], [4.215, 0.000, 4.215], [4.215, 4.215, 0.000]], "species": ["Tl", "Tl", "Tl", "Tl", "Os", "Os"], "frac_coords": [[0.000, 0.000, 0.000], [0.000, 0.000, 0.500], [0.000, 0.500, 0.000], [0.500, 0.000, 0.000], [0.375, 0.375, 0.375], [0.625, 0.625, 0.625]], "crystal_system": "cubic"}

***

Question: which arrangement is favored energetically? Ranking from most to least stable: version b, version c, version a, version d.

***

Version a
{"formula": "Tl2Os", "functional": "PBE", "state": "optimized geometry", "lattice_angstrom": [[4.924, 0.000, 0.000], [-2.462, 4.264, 0.000], [0.000, 0.000, 3.110]], "species": ["Tl", "Tl", "Os"], "frac_coords": [[0.333, 0.667, 0.244], [0.667, 0.333, 0.756], [0.000, 0.000, 0.000]], "crystal_system": "trigonal"}

***

Version b
{"formula": "Tl2Os", "functional": "PBE", "state": "optimized geometry", "lattice_angstrom": [[10.386, 0.000, 0.000], [0.000, 3.004, 0.000], [-3.145, 0.000, 8.918]], "species": ["Tl", "Tl", "Tl", "Tl", "Tl", "Tl", "Tl", "Tl", "Os", "Os", "Os", "Os"], "frac_coords": [[0.012, 0.000, 0.173], [0.158, 0.500, 0.603], [0.342, 0.000, 0.397], [0.488, 0.500, 0.827], [0.512, 0.500, 0.173], [0.658, 0.000, 0.603], [0.842, 0.500, 0.397], [0.988, 0.000, 0.827], [0.223, 0.500, 0.097], [0.277, 0.000, 0.903], [0.723, 0.000, 0.097], [0.777, 0.500, 0.903]], "crystal_system": "monoclinic"}

***

Question: which arrangement is favored energetically? Ranking from most to least stable: version b, version a.

***

Version a
{"formula": "Tl2Os", "functional": "PBE", "state": "optimized geometry", "lattice_angstrom": [[7.899, 0.000, 0.000], [-3.950, 6.841, 0.000], [0.000, 0.000, 3.524]], "species": ["Tl", "Tl", "Tl", "Tl", "Tl", "Tl", "Os", "Os", "Os"], "frac_coords": [[0.000, 0.274, 0.000], [0.000, 0.603, 0.500], [0.274, 0.000, 0.000], [0.397, 0.397, 0.500], [0.603, 0.000, 0.500], [0.726, 0.726, 0.000], [0.000, 0.000, 0.500], [0.333, 0.667, 0.000], [0.667, 0.333, 0.000]], "crystal_system": "hexagonal"}

***

Version b
{"formula": "Tl2Os", "functional": "PBE", "state": "optimized geometry", "lattice_angstrom": [[4.894, 0.000, 0.000], [-2.447, 4.238, 0.000], [0.000, 0.000, 6.230]], "species": ["Tl", "Tl", "Tl", "Tl", "Os", "Os"], "frac_coords": [[0.000, 0.000, 0.000], [0.000, 0.000, 0.500], [0.333, 0.667, 0.250], [0.667, 0.333, 0.750], [0.333, 0.667, 0.750], [0.667, 0.333, 0.250]], "crystal_system": "hexagonal"}

***

Question: which arrangement is favored energetically? Ranking from most to least stable: version a, version b.